Entry 1:
Here is a geometry-optimized TbSi4Ir6 structure from Alexandria via LeMat-Bulk. Energies are from GGA-PBE.

Values from the calculation:
Volume in Å³/f.u.: 164.8
E in eV per atom: -8.083
Magnetization in μB/f.u.: 0.00

Cell lengths 7.042, 7.042, 3.837 Å; angles 90.00, 90.00, 120.00 degrees
Sites, in units of the cell vectors:
Tb 0.000 0.000 0.000
Si 0.333 0.667 0.000
Si 0.393 0.197 0.500
Si 0.803 0.197 0.500
Si 0.803 0.607 0.500
Ir 0.198 0.396 0.500
Ir 0.198 0.802 0.500
Ir 0.533 0.066 0.000
Ir 0.533 0.467 0.000
Ir 0.604 0.802 0.500
Ir 0.934 0.467 0.000

***

Entry 2:
Here is a geometry-optimized TbSi2Ir structure from Alexandria via LeMat-Bulk. Energies are from GGA-PBE.

Values from the calculation:
Volume in Å³/f.u.: 71.8
E in eV per atom: -7.034
Magnetization in μB/f.u.: 0.00

Cell lengths 9.266, 9.266, 9.266 Å; angles 153.87, 124.34, 62.49 degrees
Sites, in units of the cell vectors:
Tb 0.205 0.205 0.000
Tb 0.245 0.000 0.245
Tb 0.755 0.000 0.755
Tb 0.795 0.795 0.000
Si 0.075 0.575 0.500
Si 0.146 0.799 0.347
Si 0.423 0.423 0.000
Si 0.452 0.799 0.653
Si 0.548 0.201 0.347
Si 0.577 0.577 0.000
Si 0.854 0.201 0.653
Si 0.925 0.425 0.500
Ir 0.107 0.354 0.752
Ir 0.398 0.646 0.752
Ir 0.602 0.354 0.248
Ir 0.893 0.646 0.248

***

Entry 3:
Here is a geometry-optimized TbSi7Ir3 structure from Alexandria via LeMat-Bulk. Energies are from GGA-PBE.

Values from the calculation:
Volume in Å³/f.u.: 170.0
E in eV per atom: -7.007
Magnetization in μB/f.u.: 0.00

Cell lengths 8.055, 8.055, 8.055 Å; angles 56.54, 56.54, 56.54 degrees
Sites, in units of the cell vectors:
Tb 0.000 0.000 0.000
Tb 0.500 0.500 0.500
Si 0.064 0.850 0.673
Si 0.150 0.327 0.936
Si 0.173 0.350 0.564
Si 0.250 0.250 0.250
Si 0.327 0.936 0.150
Si 0.350 0.564 0.173
Si 0.436 0.827 0.650
Si 0.564 0.173 0.350
Si 0.650 0.436 0.827
Si 0.673 0.064 0.850
Si 0.750 0.750 0.750
Si 0.827 0.650 0.436
Si 0.850 0.673 0.064
Si 0.936 0.150 0.327
Ir 0.070 0.750 0.430
Ir 0.250 0.570 0.930
Ir 0.430 0.070 0.750
Ir 0.570 0.930 0.250
Ir 0.750 0.430 0.070
Ir 0.930 0.250 0.570

***

Entry 4:
Here is a geometry-optimized Tb4Si3Ir structure from Alexandria via LeMat-Bulk. Energies are from GGA-PBE.

Values from the calculation:
Volume in Å³/f.u.: 177.1
E in eV per atom: -6.282
Magnetization in μB/f.u.: 0.00

Cell lengths 3.877, 4.261, 10.718 Å; angles 90.00, 90.00, 90.00 degrees
Sites, in units of the cell vectors:
Tb 0.000 0.000 0.000
Tb 0.000 0.500 0.494
Tb 0.500 0.000 0.278
Tb 0.500 0.500 0.782
Si 0.000 0.000 0.705
Si 0.000 0.500 0.210
Si 0.500 0.000 0.562
Ir 0.500 0.500 0.064

***

Entry 5:
Here is a geometry-optimized Tb2Si6Ir9 structure from Alexandria via LeMat-Bulk. Energies are from GGA-PBE.

Values from the calculation:
Volume in Å³/f.u.: 295.0
E in eV per atom: -7.846
Magnetization in μB/f.u.: 0.00

Cell lengths 5.605, 5.605, 10.841 Å; angles 90.00, 90.00, 120.00 degrees
Sites, in units of the cell vectors:
Tb 0.000 0.000 0.193
Tb 0.000 0.000 0.807
Si 0.333 0.667 0.166
Si 0.333 0.667 0.500
Si 0.333 0.667 0.834
Si 0.667 0.333 0.166
Si 0.667 0.333 0.500
Si 0.667 0.333 0.834
Ir 0.000 0.500 0.000
Ir 0.000 0.500 0.332
Ir 0.000 0.500 0.668
Ir 0.500 0.000 0.000
Ir 0.500 0.000 0.332
Ir 0.500 0.000 0.668
Ir 0.500 0.500 0.000
Ir 0.500 0.500 0.332
Ir 0.500 0.500 0.668

***

Entry 6:
Here is a geometry-optimized TbSiIr2 structure from Alexandria via LeMat-Bulk. Energies are from GGA-PBE.

Values from the calculation:
Volume in Å³/f.u.: 73.5
E in eV per atom: -7.728
Magnetization in μB/f.u.: 0.00

Cell lengths 3.970, 3.970, 9.329 Å; angles 90.00, 90.00, 90.00 degrees
Sites, in units of the cell vectors:
Tb 0.250 0.250 0.209
Tb 0.750 0.750 0.791
Si 0.250 0.250 0.645
Si 0.750 0.750 0.355
Ir 0.250 0.250 0.892
Ir 0.250 0.750 0.500
Ir 0.750 0.250 0.500
Ir 0.750 0.750 0.108

***

Entry 7:
Here is a geometry-optimized Tb3SiIr2 structure from Alexandria via LeMat-Bulk. Energies are from GGA-PBE.

Values from the calculation:
Volume in Å³/f.u.: 136.1
E in eV per atom: -6.997
Magnetization in μB/f.u.: 0.00

Cell lengths 11.488, 3.950, 11.996 Å; angles 90.00, 90.00, 90.00 degrees
Sites, in units of the cell vectors:
Tb 0.058 0.250 0.117
Tb 0.128 0.750 0.556
Tb 0.197 0.250 0.806
Tb 0.303 0.750 0.306
Tb 0.372 0.250 0.056
Tb 0.442 0.750 0.617
Tb 0.558 0.250 0.383
Tb 0.628 0.750 0.944
Tb 0.697 0.250 0.694
Tb 0.803 0.750 0.194
Tb 0.872 0.250 0.444
Tb 0.942 0.750 0.883
Si 0.124 0.250 0.360
Si 0.376 0.750 0.860
Si 0.624 0.250 0.140
Si 0.876 0.750 0.640
Ir 0.021 0.750 0.315
Ir 0.194 0.750 0.978
Ir 0.306 0.250 0.478
Ir 0.479 0.250 0.815
Ir 0.521 0.750 0.185
Ir 0.694 0.750 0.522
Ir 0.806 0.250 0.022
Ir 0.979 0.250 0.685

***

Entry 8:
Here is a geometry-optimized Tb2Si3Ir5 structure from Alexandria via LeMat-Bulk. Energies are from GGA-PBE.

Values from the calculation:
Volume in Å³/f.u.: 163.2
E in eV per atom: -7.813
Magnetization in μB/f.u.: 0.00

Cell lengths 12.111, 12.111, 6.676 Å; angles 90.00, 90.00, 160.52 degrees
Sites, in units of the cell vectors:
Tb 0.023 0.977 0.500
Tb 0.324 0.676 0.484
Tb 0.676 0.324 0.984
Tb 0.977 0.023 0.000
Si 0.111 0.889 0.776
Si 0.268 0.732 0.971
Si 0.453 0.547 0.702
Si 0.547 0.453 0.202
Si 0.732 0.268 0.471
Si 0.889 0.111 0.276
Ir 0.099 0.901 0.153
Ir 0.206 0.794 0.673
Ir 0.210 0.790 0.269
Ir 0.368 0.632 0.951
Ir 0.443 0.557 0.337
Ir 0.557 0.443 0.837
Ir 0.632 0.368 0.451
Ir 0.790 0.210 0.769
Ir 0.794 0.206 0.173
Ir 0.901 0.099 0.653